[1]
Computed, not measured: La8GeSe3S4 after structural relaxation at the PBE level of DFT.

Cell: 8.5090 8.5090 8.5090 Å, 60.02 60.02 60.02°
Sites, in units of the cell vectors:
La: 0.2414 0.7487 0.7487
La: 0.2444 0.2444 0.2444
La: 0.2513 0.2513 0.7586
La: 0.2513 0.7586 0.2513
La: 0.7487 0.2414 0.7487
La: 0.7487 0.7487 0.2414
La: 0.7556 0.7556 0.7556
La: 0.7586 0.2513 0.2513
Ge: 0.0000 0.0000 0.0000
Se: 0.0000 0.5000 0.5000
Se: 0.5000 0.0000 0.5000
Se: 0.5000 0.5000 0.0000
S: 0.0000 0.0000 0.5000
S: 0.0000 0.5000 0.0000
S: 0.5000 0.0000 0.0000
S: 0.5000 0.5000 0.5000

Properties
As for the space group: R-3m (166). For the uncorrected formation energy, the calculation gives -1957 meV/atom. As for the spin magnetization: 0.0 μB/cell.

***

[2]
Computed, not measured: CuRe2SnCl after structural relaxation at the PBE level of DFT.

Cell: 4.3411 4.3411 5.2721 Å, 90.00 90.00 90.00°
Sites, in units of the cell vectors:
Cu: 0.0000 0.0000 0.0000
Re: 0.0000 0.5000 0.5000
Re: 0.5000 0.0000 0.5000
Sn: 0.5000 0.5000 0.0000
Cl: 0.5000 0.5000 0.5000

Properties
As for the space group: P4/mmm (123). For the excess energy over the best structure of this formula in the dataset, the calculation gives 0 meV per atom. For the uncorrected formation energy, the calculation gives 1816 meV/atom. As for the spin magnetization: 0.0 μB/cell.

***

[3]
Computed, not measured: BaLaPb2 after structural relaxation at the PBE level of DFT.

Cell: 7.7697 9.6275 3.7357 Å, 90.00 90.00 90.00°
Sites, in units of the cell vectors:
Ba: 0.0000 0.0000 0.0000
Ba: 0.5000 0.5000 0.0000
La: 0.0000 0.5000 0.0000
La: 0.5000 0.0000 0.0000
Pb: 0.2500 0.2500 0.5000
Pb: 0.2500 0.7500 0.5000
Pb: 0.7500 0.2500 0.5000
Pb: 0.7500 0.7500 0.5000

Properties
As for the space group: Cmmm (65). As for the formation enthalpy at 0 K: -48.7 kJ/mol of atoms. As for the spin magnetization: 0.7 μB/cell.

***

[4]
Computed, not measured: Dy2HoMgBi4 after structural relaxation at the PBE level of DFT.

Cell: 7.7489 4.4295 7.7617 Å, 90.00 109.83 90.00°
Sites, in units of the cell vectors:
Dy: 0.0000 0.0000 0.0000
Dy: 0.0000 0.5000 0.5000
Ho: 0.5000 0.0000 0.5000
Mg: 0.5000 0.5000 0.0000
Bi: 0.2521 0.5000 0.2494
Bi: 0.2578 0.0000 0.7569
Bi: 0.7422 0.0000 0.2431
Bi: 0.7479 0.5000 0.7506

Properties
As for the space group: P2/m (10). As for the formation enthalpy at 0 K: -58.3 kJ/mol of atoms. As for the spin magnetization: 0.0 μB/cell.

***

[5]
Computed, not measured: Sr2Cu4As3P after structural relaxation at the PBE level of DFT.

Cell: 4.3189 4.3189 9.9876 Å, 90.00 90.00 90.00°
Sites, in units of the cell vectors:
Sr: 0.0000 0.5000 0.2483
Sr: 0.5000 0.0000 0.7517
Cu: 0.0000 0.0000 0.5000
Cu: 0.0000 0.5000 0.8821
Cu: 0.5000 0.0000 0.1179
Cu: 0.5000 0.5000 0.5000
As: 0.0000 0.0000 0.0000
As: 0.0000 0.5000 0.6327
As: 0.5000 0.0000 0.3673
P: 0.5000 0.5000 0.0000

Properties
As for the space group: P-4m2 (115). As for the formation enthalpy at 0 K: -50.9 kJ/mol of atoms. As for the spin magnetization: 0.0 μB/cell.

***

[6]
Computed, not measured: Pm7Dy2Tl2 after structural relaxation at the PBE level of DFT.

Cell: 11.4767 11.4767 11.4767 Å, 161.52 54.62 129.09°
Sites, in units of the cell vectors:
Pm: 0.0000 0.0000 0.0000
Pm: 0.3195 0.6584 0.6611
Pm: 0.3331 0.4623 0.8709
Pm: 0.5914 0.4623 0.1291
Pm: 0.6531 0.2870 0.3661
Pm: 0.9209 0.2870 0.6339
Pm: 0.9974 0.6584 0.3389
Dy: 0.3222 0.8222 0.5000
Dy: 0.6527 0.6527 0.0000
Tl: 0.1900 0.9455 0.2445
Tl: 0.7010 0.9455 0.7555

Properties
As for the space group: Imm2 (44). As for the formation enthalpy at 0 K: -2.6 kJ/mol of atoms. As for the spin magnetization: 0.0 μB/cell.

***

[7]
Computed, not measured: ZrTl2Pt2 after structural relaxation at the PBE level of DFT.

Cell: 7.0151 7.0151 4.4203 Å, 90.00 90.00 90.00°
Sites, in units of the cell vectors:
Zr: 0.0000 0.0000 0.0000
Zr: 0.5000 0.5000 0.0000
Tl: 0.1757 0.3243 0.5000
Tl: 0.3243 0.8243 0.5000
Tl: 0.6757 0.1757 0.5000
Tl: 0.8243 0.6757 0.5000
Pt: 0.1336 0.6336 0.0000
Pt: 0.3664 0.1336 0.0000
Pt: 0.6336 0.8664 0.0000
Pt: 0.8664 0.3664 0.0000

Properties
As for the space group: P4/mbm (127). As for the formation enthalpy at 0 K: -18.7 kJ/mol of atoms. As for the spin magnetization: 0.0 μB/cell.

***

[8]
Computed, not measured: LaBeP after structural relaxation at the PBE level of DFT.

Cell: 3.3045 3.3045 10.3222 Å, 90.00 90.00 90.00°
Sites, in units of the cell vectors:
La: 0.0000 0.0000 0.0000
La: 0.5000 0.5000 0.5000
Be: 0.0000 0.0000 0.7137
Be: 0.5000 0.5000 0.2137
P: 0.0000 0.0000 0.2856
P: 0.5000 0.5000 0.7856

Properties
As for the space group: I4mm (107). For the excess energy over the best structure of this formula in the dataset, the calculation gives 750 meV per atom. As for the formation enthalpy at 0 K: -24.0 kJ/mol of atoms. As for the spin magnetization: 0.0 μB/cell.

***

[9]
Computed, not measured: CoSnMo2C after structural relaxation at the PBE level of DFT.

Cell: 4.2150 4.2150 3.9024 Å, 90.00 90.00 90.00°
Sites, in units of the cell vectors:
Co: 0.0000 0.0000 0.0000
Sn: 0.5000 0.5000 0.0000
Mo: 0.0000 0.5000 0.5000
Mo: 0.5000 0.0000 0.5000
C: 0.0000 0.0000 0.5000

Properties
As for the space group: P4/mmm (123). As for the formation enthalpy at 0 K: 11.0 kJ/mol of atoms. As for the spin magnetization: 0.0 μB/cell.

***

[10]
Computed, not measured: ZnCuS2 after structural relaxation at the PBE level of DFT.

Cell: 3.6347 3.6347 20.7344 Å, 90.00 90.00 120.00°
Sites, in units of the cell vectors:
Zn: 0.0000 0.0000 0.0000
Zn: 0.3333 0.6667 0.6667
Zn: 0.6667 0.3333 0.3333
Cu: 0.0000 0.0000 0.5000
Cu: 0.3333 0.6667 0.1667
Cu: 0.6667 0.3333 0.8333
S: 0.0000 0.0000 0.3983
S: 0.0000 0.0000 0.6017
S: 0.3333 0.6667 0.0650
S: 0.3333 0.6667 0.2683
S: 0.6667 0.3333 0.7317
S: 0.6667 0.3333 0.9350

Properties
As for the space group: R-3m (166). For the uncorrected formation energy, the calculation gives -166 meV/atom. As for the spin magnetization: 0.0 μB/cell.

***

[11]
Computed, not measured: LiGdTc4 after structural relaxation at the PBE level of DFT.

Cell: 5.3014 5.3014 5.3014 Å, 60.00 60.00 60.00°
Sites, in units of the cell vectors:
Li: 0.0000 0.0000 0.0000
Gd: 0.7500 0.7500 0.7500
Tc: 0.3745 0.3745 0.3745
Tc: 0.3745 0.3745 0.8765
Tc: 0.3745 0.8765 0.3745
Tc: 0.8765 0.3745 0.3745

Properties
As for the space group: F-43m (216). As for the formation enthalpy at 0 K: 17.1 kJ/mol of atoms. As for the spin magnetization: 7.2 μB/cell.

***

[12]
Computed, not measured: CePu2Si2 after structural relaxation at the PBE level of DFT.

Cell: 5.4105 3.5298 11.6900 Å, 90.00 101.66 90.00°
Sites, in units of the cell vectors:
Ce: 0.2395 0.2500 0.2346
Ce: 0.7605 0.7500 0.7654
Pu: 0.0995 0.2500 0.5557
Pu: 0.3575 0.7500 0.9941
Pu: 0.6425 0.2500 0.0059
Pu: 0.9005 0.7500 0.4443
Si: 0.2798 0.2500 0.7967
Si: 0.3914 0.7500 0.4424
Si: 0.6086 0.2500 0.5576
Si: 0.7202 0.7500 0.2033

Properties
As for the space group: P2_1/m (11). For the excess energy over the best structure of this formula in the dataset, the calculation gives 289 meV per atom. For the uncorrected formation energy, the calculation gives -106 meV/atom. As for the spin magnetization: 2.2 μB/cell.